[1]
A geometry-optimized LuTlCo4 structure, computed with PBE.

## Properties
Energy of formation from the pure elements   -0.040 eV/atom
DOS at the Fermi energy   1.406 states/eV per atom
Electronic total energy   -5.9255 eV/atom

a b c (Å): 4.974 4.974 4.974
angles (deg): 60.00 60.00 60.00
Sites, in units of the cell vectors:
1 Lu 0.000 0.000 0.000
2 Tl 0.750 0.750 0.750
3 Co 0.375 0.375 0.375
4 Co 0.375 0.375 0.875
5 Co 0.375 0.875 0.375
6 Co 0.875 0.375 0.375

---

[2]
A geometry-optimized TmLuCo4 structure, computed with PBE.

## Properties
Energy of formation from the pure elements   -0.280 eV/atom
DOS at the Fermi energy   1.106 states/eV per atom
Electronic total energy   -6.5156 eV/atom

a b c (Å): 5.010 5.010 5.010
angles (deg): 60.00 60.00 60.00
Sites, in units of the cell vectors:
1 Tm 0.000 0.000 0.000
2 Lu 0.250 0.250 0.250
3 Co 0.125 0.625 0.625
4 Co 0.625 0.125 0.625
5 Co 0.625 0.625 0.125
6 Co 0.625 0.625 0.625

---

[3]
A geometry-optimized TmLu3Co structure, computed with PBE.

## Properties
Energy of formation from the pure elements   -0.044 eV/atom
DOS at the Fermi energy   1.357 states/eV per atom
Electronic total energy   -5.0724 eV/atom

a b c (Å): 5.146 5.146 5.146
angles (deg): 90.00 90.00 90.00
Sites, in units of the cell vectors:
1 Tm 0.000 0.000 0.000
2 Lu 0.000 0.500 0.500
3 Lu 0.500 0.000 0.500
4 Lu 0.500 0.500 0.000
5 Co 0.500 0.500 0.500